A plane-wave DFT calculation with GGA+U was carried out for an optimized crystal structure of IrWO3.

Geometry as POSCAR:
```
IrWO3
1.0
-3.804 -0.881 0.536
0.971 -2.371 2.996
-0.347 3.023 2.505
O Ir W
3 1 1
Direct
0.500 0.000 0.000
0.000 0.500 0.000
0.000 0.000 0.500
0.000 0.000 0.000
0.500 0.500 0.500
```

Calculated total energy ... -5.96 eV per atom